1.
# TbHfBi

Crystalline TbHfBi at its relaxed geometry (GGA-PBE, Alexandria via LeMat-Bulk).

The structure in POSCAR format:
```
TbHfBi
1.0
-2.3341 -3.5765 0.9276
2.8069 -1.0029 3.1961
-4.5978 4.4064 5.4205
Tb Hf Bi
2 2 2
Cartesian
-0.1878 1.0236 3.4741 Tb
-4.1735 1.0931 4.0083 Tb
0.2364 -2.2897 2.0619 Hf
0.0000 0.0000 0.0000 Hf
-1.9630 2.7249 5.5669 Bi
-2.3984 -0.6082 1.9154 Bi
```

Values from the calculation:
DOS(E_F) ... 4.5 states/eV per cell
E ... -6.61 eV per atom

---

2.
# Li2SnP2O7

Crystalline Li2SnP2O7 at its relaxed geometry (GGA-PBE, Alexandria via LeMat-Bulk).

The structure in POSCAR format:
```
Li2SnP2O7
1.0
-5.9573 -2.5811 -3.1615
5.0262 -8.7088 -4.4236
3.1534 -6.2225 7.0399
O P Sn Li
28 8 4 8
Cartesian
1.9548 -15.1442 0.6802 O
-2.1787 -3.9029 -2.0887 O
-0.5090 -8.4953 -1.0588 O
0.8192 -6.5035 4.8435 O
-0.7546 -11.7727 -2.1249 O
4.3341 -13.4079 1.2168 O
-3.4246 -6.3667 -3.9641 O
0.1310 -4.2313 0.1068 O
-4.3379 -2.5523 -2.1791 O
6.1655 -12.7753 -0.4796 O
2.6941 -9.0106 0.6794 O
4.1099 -9.9984 -1.1791 O
-4.4635 -5.0822 -2.0075 O
1.6299 -8.5281 -2.3854 O
4.1909 -7.5504 -0.6778 O
-2.1842 -8.9236 0.7756 O
0.6530 -2.1281 -1.2238 O
5.7812 -11.4290 3.1551 O
1.2323 -6.6887 -0.6886 O
2.4778 -10.8425 2.4243 O
2.9660 -5.5834 1.6244 O
1.2784 -12.5949 -4.4583 O
-0.1290 -6.7471 -2.8777 O
1.0919 -11.0323 0.3125 O
0.6151 -9.1550 1.9821 O
-1.7122 -6.5577 0.0403 O
1.8728 -13.7099 -1.5146 O
6.7904 -13.4430 1.8895 O
1.1333 -14.6083 -0.5054 P
0.5978 -7.5615 -1.8178 P
-3.5936 -3.7534 -1.5518 P
1.2028 -3.2167 -0.2803 P
-1.9515 -8.0175 -0.4455 P
1.6849 -10.0596 1.3868 P
5.7407 -13.6809 0.6581 P
4.1423 -8.9588 -0.0524 P
1.4008 -11.3184 -1.8926 Sn
2.2556 -8.1206 4.0523 Sn
0.5364 -9.3870 -5.1643 Sn
0.2583 -6.1031 1.1538 Sn
5.5029 -11.2400 -1.4127 Li
3.0735 -5.9594 -0.2754 Li
3.9600 -12.0571 2.6400 Li
-3.1381 -5.5322 0.9272 Li
-1.6006 -5.4956 -3.0976 Li
-1.2164 -9.1841 2.5027 Li
-0.0323 -12.4536 1.1200 Li
3.5397 -8.2436 -2.4580 Li
```

Values from the calculation:
ΔE_f (raw) ... -2116 meV per atom
DOS(E_F) ... 0.0 states/eV per cell
E ... -6.56 eV per atom